The following is a GGA-PBE calculation of crystalline MgCuBiPt at its relaxed geometry, from OQMD via LeMat-Bulk.

Geometry as CIF:
```
data_MgCuBiPt
_chemical_formula_sum 'Mg4 Cu4 Bi4 Pt4'
_cell_length_a 6.6879
_cell_length_b 6.6879
_cell_length_c 6.6879
_cell_angle_alpha 90.00
_cell_angle_beta 90.00
_cell_angle_gamma 90.00
_symmetry_space_group_name_H-M 'F -4 3 m'
_symmetry_Int_Tables_number 216
_symmetry_space_group_name_Hall 'F -4 2 3'
loop_
_atom_site_label
_atom_site_type_symbol
_atom_site_fract_x
_atom_site_fract_y
_atom_site_fract_z
_atom_site_occupancy
Mg1 Mg 0.0000 0.0000 0.0000 1
Cu1 Cu 0.2500 0.2500 0.2500 1
Bi1 Bi 0.0000 0.0000 0.5000 1
Pt1 Pt 0.2500 0.2500 0.7500 1
```

energy: -64.12 eV per cell
polymorph energy (0 for the lowest one): 0 meV/atom

The following is a GGA-PBE calculation of crystalline ZrFeGe2 at its relaxed geometry, from OQMD via LeMat-Bulk.

Geometry as CIF:
```
data_ZrFeGe2
_chemical_formula_sum 'Zr4 Fe4 Ge8'
_cell_length_a 6.3639
_cell_length_b 6.3639
_cell_length_c 6.3639
_cell_angle_alpha 90.00
_cell_angle_beta 90.00
_cell_angle_gamma 90.00
_symmetry_space_group_name_H-M 'F -4 3 m'
_symmetry_Int_Tables_number 216
_symmetry_space_group_name_Hall 'F -4 2 3'
loop_
_atom_site_label
_atom_site_type_symbol
_atom_site_fract_x
_atom_site_fract_y
_atom_site_fract_z
_atom_site_occupancy
Zr1 Zr 0.0000 0.0000 0.0000 1
Fe1 Fe 0.2500 0.2500 0.2500 1
Ge1 Ge 0.0000 0.0000 0.5000 1
Ge2 Ge 0.2500 0.2500 0.7500 1
```

energy: -104.60 eV per cell

Please write out number 1 again, unchanged.
The following is a GGA-PBE calculation of crystalline MgCuBiPt at its relaxed geometry, from OQMD via LeMat-Bulk.

Geometry as CIF:
```
data_MgCuBiPt
_chemical_formula_sum 'Mg4 Cu4 Bi4 Pt4'
_cell_length_a 6.6879
_cell_length_b 6.6879
_cell_length_c 6.6879
_cell_angle_alpha 90.00
_cell_angle_beta 90.00
_cell_angle_gamma 90.00
_symmetry_space_group_name_H-M 'F -4 3 m'
_symmetry_Int_Tables_number 216
_symmetry_space_group_name_Hall 'F -4 2 3'
loop_
_atom_site_label
_atom_site_type_symbol
_atom_site_fract_x
_atom_site_fract_y
_atom_site_fract_z
_atom_site_occupancy
Mg1 Mg 0.0000 0.0000 0.0000 1
Cu1 Cu 0.2500 0.2500 0.2500 1
Bi1 Bi 0.0000 0.0000 0.5000 1
Pt1 Pt 0.2500 0.2500 0.7500 1
```

energy: -64.12 eV per cell
polymorph energy (0 for the lowest one): 0 meV/atom

Q: energy of number 1 (MgCuBiPt)?
A: -64.12 eV per cell

Q: What is the formula in the first record?
A: MgCuBiPt